Entry 1:
# ScIn2W GGA-PBE optimized geometry
data_ScIn2W
_cell_length_a 3.0907
_cell_length_b 3.0907
_cell_length_c 29.8649
_cell_angle_alpha 90.00
_cell_angle_beta 90.00
_cell_angle_gamma 120.00
_symmetry_space_group_name_H-M 'R -3 m'
_symmetry_Int_Tables_number 166
_symmetry_space_group_name_Hall '-R 3 2"'
loop_
_atom_site_label
_atom_site_type_symbol
_atom_site_fract_x
_atom_site_fract_y
_atom_site_fract_z
Sc1 Sc 0.0000 0.0000 0.0000
In1 In 0.0000 0.0000 0.2460
W1 W 0.0000 0.0000 0.5000
# Formation enthalpy at 0 K: 0.288 eV per atom
# E above lowest polymorph: 0.164 eV/atom
# Uncorrected energy: -0.43383 Ry/atom
# Volume: 20.6 A^3/atom

=====

Entry 2:
# ScIn2W GGA-PBE optimized geometry
data_ScIn2W
_cell_length_a 4.214
_cell_length_b 4.214
_cell_length_c 4.467
_cell_angle_alpha 90.00
_cell_angle_beta 90.00
_cell_angle_gamma 90.00
_symmetry_space_group_name_H-M 'P 4/m m m'
_symmetry_Int_Tables_number 123
_symmetry_space_group_name_Hall '-P 4 2'
loop_
_atom_site_label
_atom_site_type_symbol
_atom_site_fract_x
_atom_site_fract_y
_atom_site_fract_z
Sc1 Sc 0.000 0.000 0.000
In1 In 0.000 0.500 0.500
W1 W 0.500 0.500 0.000
# Formation enthalpy at 0 K: 0.200 eV per atom
# E above lowest polymorph: 0.075 eV/atom
# Uncorrected energy: -0.44031 Ry/atom
# Volume: 19.8 A^3/atom

=====

Entry 3:
# ScIn2W GGA-PBE optimized geometry
data_ScIn2W
_cell_length_a 5.291
_cell_length_b 3.033
_cell_length_c 5.453
_cell_angle_alpha 90.00
_cell_angle_beta 111.68
_cell_angle_gamma 90.00
_symmetry_space_group_name_H-M 'P 1 2/m 1'
_symmetry_Int_Tables_number 10
loop_
_symmetry_equiv_pos_as_xyz
'x,y,z'
'-x,-y,-z'
'-x,y,-z'
'x,-y,z'
loop_
_atom_site_label
_atom_site_type_symbol
_atom_site_fract_x
_atom_site_fract_y
_atom_site_fract_z
Sc1 Sc 0.000 0.000 0.000
In1 In 0.500 0.000 0.500
In2 In 0.500 0.500 0.000
W1 W 0.000 0.500 0.500
# Formation enthalpy at 0 K: 0.268 eV per atom
# E above lowest polymorph: 0.144 eV/atom
# Uncorrected energy: -0.43525 Ry/atom
# Volume: 20.3 A^3/atom

=====

Q: uncorrected energy of number 2 (ScIn2W)?
A: -0.44031 Ry/atom

=====

Q: Among the records above, which one has the highest E above lowest polymorph?
A: number 1

=====

Q: Which formula does entry 2 have?
A: ScIn2W